The following is a PBE-GGA calculation of a relaxed FePd3Pb crystal, from Alexandria via LeMat-Bulk.

Lattice parameters (Å, degrees): 5.0118 5.0118 5.0118 90.00 90.00 90.00
Positions (direct):
Fe (0.0000, 0.0000, 0.0000)
Pd (0.0000, 0.5000, 0.5000)
Pd (0.5000, 0.0000, 0.5000)
Pd (0.5000, 0.5000, 0.0000)
Pb (0.5000, 0.5000, 0.5000)

Computed properties:
Fermi-level density of states = 1.418 states/eV per atom
Electronic total energy = -0.161 Ha/atom
Density = 7.7 g/cm³